! CaYZr2 | Alexandria | PBEsol | relaxed; values from VASP
! * SG: Fm-3m (225)
! * volume: 420.6 Å³ per cell
! * magnetization: 0.1 Bohr magnetons per cell
! * energy of formation: 0.488 eV/atom
! * polymorph energy (0 for the lowest one): 228 meV per atom
&SYSTEM
  ibrav = 0, nat = 16, ntyp = 3
/
ATOMIC_SPECIES
Ca 40.08 Ca.upf
Y 88.91 Y.upf
Zr 91.22 Zr.upf
CELL_PARAMETERS angstrom
7.4924 0.0000 0.0000
0.0000 7.4924 0.0000
0.0000 0.0000 7.4924
ATOMIC_POSITIONS crystal
Ca 0.0000 0.0000 0.0000
Ca 0.0000 0.5000 0.5000
Ca 0.5000 0.0000 0.5000
Ca 0.5000 0.5000 0.0000
Y 0.0000 0.0000 0.5000
Y 0.0000 0.5000 0.0000
Y 0.5000 0.0000 0.0000
Y 0.5000 0.5000 0.5000
Zr 0.2500 0.2500 0.2500
Zr 0.2500 0.2500 0.7500
Zr 0.2500 0.7500 0.2500
Zr 0.2500 0.7500 0.7500
Zr 0.7500 0.2500 0.2500
Zr 0.7500 0.2500 0.7500
Zr 0.7500 0.7500 0.2500
Zr 0.7500 0.7500 0.7500


! YCo2Br | Alexandria | PBEsol | relaxed; values from VASP
! * SG: R-3m (166)
! * volume: 214.4 Å³ per cell
! * uncorrected formation energy: 0.512 eV per atom
! * magnetization: 7.5 Bohr magnetons per cell
! * polymorph energy (0 for the lowest one): 187 meV per atom
&SYSTEM
  ibrav = 0, nat = 12, ntyp = 3
/
ATOMIC_SPECIES
Y 88.91 Y.upf
Co 58.93 Co.upf
Br 79.90 Br.upf
CELL_PARAMETERS angstrom
3.2848 0.0000 0.0000
-1.6424 2.8447 0.0000
0.0000 0.0000 22.9443
ATOMIC_POSITIONS crystal
Y 0.0000 0.0000 0.0000
Y 0.3333 0.6667 0.6667
Y 0.6667 0.3333 0.3333
Co 0.0000 0.0000 0.2434
Co 0.0000 0.0000 0.7566
Co 0.3333 0.6667 0.4232
Co 0.3333 0.6667 0.9101
Co 0.6667 0.3333 0.0899
Co 0.6667 0.3333 0.5768
Br 0.0000 0.0000 0.5000
Br 0.3333 0.6667 0.1667
Br 0.6667 0.3333 0.8333


! Li4Fe3Co3Cu2O16 | Alexandria | PBEsol | relaxed; values from VASP
! * SG: Cm (8)
! * volume: 251.3 Å³ per cell
! * uncorrected formation energy: -1.269 eV per atom
! * magnetization: 6.3 Bohr magnetons per cell
&SYSTEM
  ibrav = 0, nat = 28, ntyp = 5
/
ATOMIC_SPECIES
Li 6.94 Li.upf
Fe 55.84 Fe.upf
Co 58.93 Co.upf
Cu 63.55 Cu.upf
O 16.00 O.upf
CELL_PARAMETERS angstrom
4.8235 -2.7747 0.0000
4.8235 2.7747 0.0000
-0.5117 0.0000 9.3876
ATOMIC_POSITIONS crystal
Li 0.0000 0.0000 0.0000
Li 0.0013 0.0013 0.5006
Li 0.3512 0.3512 0.9067
Li 0.6846 0.6846 0.4022
Fe 0.1814 0.1814 0.2178
Fe 0.3573 0.8397 0.7192
Fe 0.8397 0.3573 0.7192
Co 0.1819 0.6713 0.2208
Co 0.6713 0.1819 0.2208
Co 0.8407 0.8407 0.7200
Cu 0.3457 0.3457 0.4976
Cu 0.6778 0.6778 0.0031
O 0.0175 0.0175 0.8136
O 0.0186 0.0186 0.3150
O 0.0543 0.4992 0.3405
O 0.1673 0.1673 0.6144
O 0.1718 0.6881 0.6138
O 0.3256 0.8512 0.1145
O 0.3382 0.3382 0.1136
O 0.4992 0.0543 0.3405
O 0.5008 0.5008 0.3302
O 0.5333 0.9829 0.8342
O 0.5345 0.5345 0.8438
O 0.6733 0.6733 0.6086
O 0.6881 0.1718 0.6138
O 0.8490 0.8490 0.1136
O 0.8512 0.3256 0.1145
O 0.9829 0.5333 0.8342


! InWI2Br | Alexandria | PBEsol | relaxed; values from VASP
! * SG: P4/mmm (123)
! * volume: 157.0 Å³ per cell
! * uncorrected formation energy: 0.377 eV per atom
! * magnetization: 3.3 Bohr magnetons per cell
&SYSTEM
  ibrav = 0, nat = 5, ntyp = 4
/
ATOMIC_SPECIES
In 114.82 In.upf
W 183.84 W.upf
I 126.90 I.upf
Br 79.90 Br.upf
CELL_PARAMETERS angstrom
5.5358 0.0000 0.0000
0.0000 5.5358 0.0000
0.0000 0.0000 5.1236
ATOMIC_POSITIONS crystal
In 0.0000 0.0000 0.0000
W 0.5000 0.5000 0.5000
I 0.0000 0.5000 0.5000
I 0.5000 0.0000 0.5000
Br 0.5000 0.5000 0.0000


! KRu3Pt | Alexandria | PBEsol | relaxed; values from VASP
! * SG: Pm-3m (221)
! * volume: 83.1 Å³ per cell
! * magnetization: 1.4 Bohr magnetons per cell
! * energy of formation: 3.034 eV/atom
&SYSTEM
  ibrav = 0, nat = 5, ntyp = 3
/
ATOMIC_SPECIES
K 39.10 K.upf
Ru 101.07 Ru.upf
Pt 195.08 Pt.upf
CELL_PARAMETERS angstrom
4.3630 0.0000 0.0000
0.0000 4.3630 0.0000
0.0000 0.0000 4.3630
ATOMIC_POSITIONS crystal
K 0.0000 0.0000 0.0000
Ru 0.0000 0.0000 0.5000
Ru 0.0000 0.5000 0.0000
Ru 0.5000 0.0000 0.0000
Pt 0.5000 0.5000 0.5000


! Mn2BeIn | Alexandria | PBEsol | relaxed; values from VASP
! * SG: Amm2 (38)
! * volume: 107.7 Å³ per cell
! * magnetization: 10.5 Bohr magnetons per cell
! * energy of formation: 0.337 eV/atom
&SYSTEM
  ibrav = 0, nat = 8, ntyp = 3
/
ATOMIC_SPECIES
Mn 54.94 Mn.upf
Be 9.01 Be.upf
In 114.82 In.upf
CELL_PARAMETERS angstrom
3.6508 0.0000 0.0000
0.0000 2.7619 0.0000
0.0000 0.0000 10.6807
ATOMIC_POSITIONS crystal
Mn 0.0000 0.0000 0.0000
Mn 0.0000 0.5000 0.5000
Mn 0.5000 0.0000 0.3698
Mn 0.5000 0.5000 0.8698
Be 0.0000 0.0000 0.7938
Be 0.0000 0.5000 0.2938
In 0.5000 0.0000 0.6355
In 0.5000 0.5000 0.1355


! MnPt2Se | Alexandria | PBEsol | relaxed; values from VASP
! * SG: P4mm (99)
! * volume: 62.0 Å³ per cell
! * uncorrected formation energy: 0.061 eV per atom
! * magnetization: 3.7 Bohr magnetons per cell
&SYSTEM
  ibrav = 0, nat = 4, ntyp = 3
/
ATOMIC_SPECIES
Mn 54.94 Mn.upf
Pt 195.08 Pt.upf
Se 78.96 Se.upf
CELL_PARAMETERS angstrom
3.3669 0.0000 0.0000
0.0000 3.3669 0.0000
0.0000 0.0000 5.4658
ATOMIC_POSITIONS crystal
Mn 0.0000 0.0000 0.0000
Pt 0.0000 0.0000 0.4799
Pt 0.5000 0.5000 0.2084
Se 0.5000 0.5000 0.7323


! MgAl2Ge2 | Alexandria | PBEsol | relaxed; values from VASP
! * SG: P-3m1 (164)
! * volume: 97.6 Å³ per cell
! * magnetization: 0.0 Bohr magnetons per cell
! * energy of formation: -0.099 eV/atom
&SYSTEM
  ibrav = 0, nat = 5, ntyp = 3
/
ATOMIC_SPECIES
Mg 24.30 Mg.upf
Al 26.98 Al.upf
Ge 72.64 Ge.upf
CELL_PARAMETERS angstrom
4.0982 0.0000 0.0000
-2.0491 3.5491 0.0000
0.0000 0.0000 6.7115
ATOMIC_POSITIONS crystal
Mg 0.0000 0.0000 0.0000
Al 0.3333 0.6667 0.6319
Al 0.6667 0.3333 0.3681
Ge 0.3333 0.6667 0.2378
Ge 0.6667 0.3333 0.7622